Entry from Alexandria via LeMat-Bulk: a relaxed ErIn2Pd crystal (GGA-PBE).

```
data_ErIn2Pd
_chemical_formula_sum 'Er3 In6 Pd3'
_space_group_name_H-M_alt 'R -3 m'
_space_group_IT_number 166
_space_group_name_Hall '-R 3 2"'
_cell_length_a 4.6032
_cell_length_b 4.6032
_cell_length_c 14.8842
_cell_angle_alpha 90.00
_cell_angle_beta 90.00
_cell_angle_gamma 120.00
loop_
_atom_site_label
_atom_site_fract_x
_atom_site_fract_y
_atom_site_fract_z
Er1 0.0000 0.0000 0.0000
In1 0.0000 0.0000 0.2254
Pd1 0.0000 0.0000 0.5000
```

- calculated density (Mg/m³) = 9.180
- ΔH_f (0 K) (eV per atom) = -0.4540

***

Entry from Alexandria via LeMat-Bulk: a relaxed ErGa2Tc crystal (GGA-PBE).

```
data_ErGa2Tc
_chemical_formula_sum 'Er1 Ga2 Tc1'
_space_group_name_H-M_alt 'P 4/m m m'
_space_group_IT_number 123
_space_group_name_Hall '-P 4 2'
_cell_length_a 3.3574
_cell_length_b 3.3574
_cell_length_c 6.3413
_cell_angle_alpha 90.00
_cell_angle_beta 90.00
_cell_angle_gamma 90.00
loop_
_atom_site_label
_atom_site_fract_x
_atom_site_fract_y
_atom_site_fract_z
Er1 0.0000 0.0000 0.0000
Ga1 0.5000 0.5000 0.2981
Tc1 0.0000 0.0000 0.5000
```

- polymorph energy (0 for the lowest one) (eV per formula unit) = 0.69
- calculated density (Mg/m³) = 9.401
- ΔH_f (0 K) (eV per atom) = -0.2932